No. 1
Density functional theory data (PBE) for a relaxed structure of Sr5Mg4Al.

Unit cell a=4.1002 b=4.1002 c=20.9719 alpha=90.00 beta=90.00 gamma=90.00
With the nearest neighbours (Å) after each atom.
Space group P4/mmm (No. 123)
Inequivalent atoms, fractional coordinates:
Sr 0.0000 0.0000 0.0000 (multiplicity 1)  8 Mg 3.61
Sr 0.0000 0.0000 0.2053 (multiplicity 2)  8 Mg 3.62
Sr 0.0000 0.0000 0.4107 (multiplicity 2)  4 Al 3.45, 4 Mg 3.60, 1 Sr 3.74
Mg 0.5000 0.5000 0.1022 (multiplicity 2)  8 Sr 3.61-3.62
Mg 0.5000 0.5000 0.3086 (multiplicity 2)  8 Sr 3.60-3.62, 1 Al 4.01
Al 0.5000 0.5000 0.5000 (multiplicity 1)  8 Sr 3.45

***

No. 2
Density functional theory data (PBE) for a relaxed structure of SrMg2Al.

Unit cell a=7.4379 b=7.4379 c=7.4379 alpha=90.00 beta=90.00 gamma=90.00
With the nearest neighbours (Å) after each atom.
Space group F-43m (No. 216)
Inequivalent atoms, fractional coordinates:
Sr 0.0000 0.0000 0.0000 (multiplicity 4)  4 Al 3.22, 4 Mg 3.22
Mg 0.0000 0.0000 0.5000 (multiplicity 4)  4 Mg 3.22, 4 Al 3.22
Mg 0.2500 0.2500 0.2500 (multiplicity 4)  4 Sr 3.22, 4 Mg 3.22
Al 0.2500 0.2500 0.7500 (multiplicity 4)  4 Mg 3.22, 4 Sr 3.22

***

Number 1: formation enthalpy at 0 K -66 meV per atom, mass density 2.65 g cm⁻³. Number 2: formation enthalpy at 0 K -40 meV per atom, mass density 2.63 g cm⁻³.